1.
{
  "formula": "Nb5Tc2W",
  "functional": "PBE-GGA",
  "state": "relaxed",
  "dos_at_fermi_per_ev_atom": 0.80,
  "formation_energy_ev_per_atom": -0.21,
  "lattice": [[-3.2355, 3.2355, 3.2283], [3.2355, -3.2355, 3.2283], [3.2355, 3.2355, -3.2283]],
  "species": ["Nb", "Nb", "Nb", "Nb", "Nb", "Tc", "Tc", "W"],
  "frac_coords": [[0.0000, 0.0000, 0.0000], [0.0000, 0.0000, 0.5000], [0.0000, 0.5000, 0.0000], [0.5000, 0.0000, 0.0000], [0.5000, 0.5000, 0.5000], [0.0000, 0.5000, 0.5000], [0.5000, 0.0000, 0.5000], [0.5000, 0.5000, 0.0000]]
}

---

2.
{
  "formula": "V2NiPdPt5",
  "functional": "PBE-GGA",
  "state": "relaxed",
  "dos_at_fermi_per_ev_atom": 1.01,
  "formation_energy_ev_per_atom": 0.01,
  "lattice": [[-3.5566, 3.5566, 5.5120], [3.5566, -3.5566, 5.5120], [3.5566, 3.5566, -5.5120]],
  "species": ["V", "V", "V", "V", "Ni", "Ni", "Pd", "Pd", "Pt", "Pt", "Pt", "Pt", "Pt", "Pt", "Pt", "Pt", "Pt", "Pt"],
  "frac_coords": [[0.1075, 0.6075, 0.7150], [0.3925, 0.1075, 0.5000], [0.6075, 0.8925, 0.5000], [0.8925, 0.3925, 0.2850], [0.2500, 0.7500, 0.5000], [0.7500, 0.2500, 0.5000], [0.2500, 0.2500, 0.0000], [0.7500, 0.7500, 0.0000], [0.0000, 0.0000, 0.0000], [0.0719, 0.1647, 0.5000], [0.1647, 0.6647, 0.0928], [0.3353, 0.4281, 0.5000], [0.4281, 0.9281, 0.0928], [0.5000, 0.5000, 0.0000], [0.5719, 0.0719, 0.9072], [0.6647, 0.5719, 0.5000], [0.8353, 0.3353, 0.9072], [0.9281, 0.8353, 0.5000]]
}